1.
Material: Y2HoCd2
Method: DFT, PBE-GGA
State: relaxed

DOS(E_F): 1.2318 states/eV/atom
Crystal system: orthorhombic
Symmetry: Immm, No. 71
Relative energy among the computed polymorphs: 89 meV/atom
ΔH_f (0 K): -0.18 eV per atom

The structure in POSCAR format:
```
Y2HoCd2
1.0
4.992 0.000 0.000
2.496 5.365 -0.191
2.496 1.253 5.220
Y Ho Cd
2 1 2
Direct
0.199 0.301 0.301
0.801 0.699 0.699
0.000 0.000 0.000
0.500 0.289 0.711
0.500 0.711 0.289
```

=====

2.
Material: CaScTe2
Method: DFT, PBE-GGA
State: relaxed

DOS(E_F): 0.8875 states/eV/atom
ΔE_f (raw): -0.93 eV per atom
Crystal system: tetragonal
Symmetry: I-4m2, No. 119
Relative energy among the computed polymorphs: 425 meV/atom

The structure in POSCAR format:
```
CaScTe2
1.0
7.456 0.070 0.000
5.004 5.529 0.000
-6.230 -2.799 2.992
Sc Ca Te
1 1 2
Direct
0.750 0.250 0.500
0.500 0.500 0.000
0.000 0.000 0.000
0.250 0.750 0.500
```

=====

3.
Material: Ca2ZrTc
Method: DFT, PBE-GGA
State: relaxed

DOS(E_F): 0.9098 states/eV/atom
Crystal system: trigonal
Symmetry: R-3m, No. 166
Relative energy among the computed polymorphs: 568 meV/atom
ΔH_f (0 K): 0.66 eV per atom

The structure in POSCAR format:
```
Ca2ZrTc
1.0
-9.303 -4.974 2.798
-7.455 -6.002 5.244
-8.934 -3.133 5.430
Ca Tc Zr
2 1 1
Direct
0.989 0.989 0.989
0.511 0.511 0.511
0.250 0.250 0.250
0.750 0.750 0.750
```

=====

4.
Material: ZnSi2Br
Method: DFT, PBE-GGA
State: relaxed

DOS(E_F): 0.3996 states/eV/atom
ΔE_f (raw): 0.46 eV per atom
Crystal system: orthorhombic
Symmetry: Imm2, No. 44
Relative energy among the computed polymorphs: 400 meV/atom

The structure in POSCAR format:
```
ZnSi2Br
1.0
6.195 0.030 -0.001
3.701 4.968 0.001
-4.455 -3.475 2.540
Br Si Zn
1 2 1
Direct
0.241 0.741 0.500
0.958 0.958 0.000
0.769 0.269 0.500
0.532 0.532 0.000
```

=====

5.
Material: Pr4AgAu3
Method: DFT, PBE-GGA
State: relaxed

DOS(E_F): 0.8387 states/eV/atom
Crystal system: orthorhombic
Symmetry: Pmm2, No. 25
ΔH_f (0 K): -0.65 eV per atom

The structure in POSCAR format:
```
Pr4AgAu3
1.0
-2.093 3.333 0.034
-3.652 -2.316 2.191
4.422 2.673 10.193
Pr Ag Au
4 1 3
Direct
0.500 0.500 0.365
0.000 0.500 0.859
0.000 0.000 0.139
0.500 0.000 0.637
0.500 0.500 0.081
0.000 0.500 0.586
0.000 0.000 0.415
0.500 0.000 0.918
```

=====

6.
Material: Nd3Dy2Y4
Method: DFT, PBE-GGA
State: relaxed

DOS(E_F): 1.3120 states/eV/atom
Crystal system: monoclinic
Symmetry: C2/m, No. 12
Relative energy among the computed polymorphs: 0 meV/atom
ΔH_f (0 K): 0.02 eV per atom

The structure in POSCAR format:
```
Nd3Dy2Y4
1.0
3.602 0.000 0.000
-1.801 5.885 0.989
0.000 4.149 14.714
Nd Dy Y
3 2 4
Direct
0.332 0.665 0.558
0.000 0.000 0.000
0.668 0.335 0.442
0.333 0.667 0.220
0.667 0.333 0.780
0.666 0.333 0.111
0.001 0.001 0.668
0.999 0.999 0.332
0.334 0.667 0.889
```

=====

7.
Material: NaLaAgHg2
Method: DFT, PBE-GGA
State: relaxed

DOS(E_F): 0.7209 states/eV/atom
Crystal system: tetragonal
Symmetry: P4/mmm, No. 123
ΔH_f (0 K): 0.12 eV per atom

The structure in POSCAR format:
```
NaLaAgHg2
1.0
5.446 0.000 0.000
0.000 5.547 0.000
0.000 0.000 5.446
Na Hg Ag La
1 2 1 1
Direct
0.500 0.500 0.500
0.000 0.000 0.500
0.500 0.000 0.000
0.000 0.000 0.000
0.000 0.500 0.000
```

=====

8.
Material: In4AgPd2Rh
Method: DFT, PBE-GGA
State: relaxed

DOS(E_F): 0.4872 states/eV/atom
Crystal system: trigonal
Symmetry: R-3m, No. 166
ΔH_f (0 K): -0.33 eV per atom

The structure in POSCAR format:
```
In4AgPd2Rh
1.0
-0.993 4.585 0.228
-4.243 1.550 -1.286
-4.250 1.146 6.823
In Ag Pd Rh
4 1 2 1
Direct
0.379 0.379 0.864
0.870 0.870 0.389
0.130 0.130 0.611
0.621 0.621 0.136
0.000 0.000 0.000
0.747 0.747 0.759
0.253 0.253 0.241
0.500 0.500 0.500
```

=====

9.
Material: Tb3Ho6Er2Th
Method: DFT, PBE-GGA
State: relaxed

DOS(E_F): 1.2827 states/eV/atom
Crystal system: monoclinic
Symmetry: C2/m, No. 12
ΔH_f (0 K): 0.02 eV per atom

The structure in POSCAR format:
```
Tb3Ho6Er2Th
1.0
-5.523 -2.252 -1.396
4.609 -0.497 -4.003
3.260 -9.222 6.463
Tb Ho Er Th
3 6 2 1
Direct
0.167 0.833 0.500
0.833 0.167 0.500
0.500 0.500 0.500
0.917 0.586 0.751
0.753 0.753 0.249
0.083 0.414 0.249
0.586 0.917 0.751
0.247 0.247 0.751
0.414 0.083 0.249
0.333 0.667 0.000
0.667 0.333 0.000
0.000 0.000 0.000
```

=====

10.
Material: InNi2P
Method: DFT, PBE-GGA
State: relaxed

DOS(E_F): 0.5445 states/eV/atom
Crystal system: orthorhombic
Symmetry: Immm, No. 71
ΔH_f (0 K): -0.01 eV per atom

The structure in POSCAR format:
```
InNi2P
1.0
0.561 -4.432 0.242
-4.378 -0.797 0.464
2.330 1.908 -3.309
In Ni P
1 2 1
Direct
0.500 0.000 0.500
0.805 0.805 0.000
0.195 0.195 0.000
0.000 0.500 0.500
```

=====

11.
Material: Tc2BiP2
Method: DFT, PBE-GGA
State: relaxed

DOS(E_F): 0.4540 states/eV/atom
Crystal system: tetragonal
Symmetry: I4/mmm, No. 139
ΔH_f (0 K): -0.08 eV per atom

The structure in POSCAR format:
```
Tc2BiP2
1.0
-0.437 3.205 -1.872
-2.110 -1.765 -2.529
-6.265 1.964 1.094
P Bi Tc
2 1 2
Direct
0.750 0.250 0.500
0.250 0.750 0.500
0.000 0.000 0.000
0.371 0.371 0.259
0.629 0.629 0.741
```

=====

12.
Material: Ac2SbP3Pd4
Method: DFT, PBE-GGA
State: relaxed

DOS(E_F): 0.3801 states/eV/atom
ΔE_f (raw): -0.88 eV per atom
Crystal system: tetragonal
Symmetry: P-4m2, No. 115

The structure in POSCAR format:
```
Ac2SbP3Pd4
1.0
4.432 0.000 0.000
0.000 4.432 0.000
0.000 0.000 10.331
Ac Sb P Pd
2 1 3 4
Direct
0.500 0.000 0.236
0.000 0.500 0.764
0.500 0.500 0.500
0.000 0.000 0.500
0.500 0.000 0.875
0.000 0.500 0.125
0.500 0.500 0.000
0.000 0.000 0.000
0.500 0.000 0.639
0.000 0.500 0.361
```

=====

Repeat the eighth record exactly.
Material: In4AgPd2Rh
Method: DFT, PBE-GGA
State: relaxed

DOS(E_F): 0.4872 states/eV/atom
Crystal system: trigonal
Symmetry: R-3m, No. 166
ΔH_f (0 K): -0.33 eV per atom

The structure in POSCAR format:
```
In4AgPd2Rh
1.0
-0.993 4.585 0.228
-4.243 1.550 -1.286
-4.250 1.146 6.823
In Ag Pd Rh
4 1 2 1
Direct
0.379 0.379 0.864
0.870 0.870 0.389
0.130 0.130 0.611
0.621 0.621 0.136
0.000 0.000 0.000
0.747 0.747 0.759
0.253 0.253 0.241
0.500 0.500 0.500
```

=====

Q: The lowest DOS(E_F) belongs to which entry?
A: Ac2SbP3Pd4

=====

Q: What is the DOS(E_F) in the eighth record?
A: 0.4872 states/eV/atom

=====

Q: Look up the DOS(E_F) of the first one.
A: 1.2318 states/eV/atom